No. 1
The following is a DFT calculation (PBE-GGA) of crystalline CsSr2Y2 at its relaxed geometry.

Output
**Density**: 3.22 g/cm3
**Spin magnetization**: 2.4 μB per formula unit
**DFT total energy**: -3.015 eV per atom
**Energy of formation**: 0.414 eV per atom

Cell: 11.364 11.364 3.885 Å, 90.00 90.00 90.00°
Space group P4/mbm (No. 127)
One atom of each set of equivalent atoms:
Cs (0.000, 0.000, 0.000)
Sr (0.177, 0.323, 0.000)
Y (0.106, 0.606, 0.500)



No. 2
The following is a DFT calculation (PBE-GGA) of crystalline LaScSb2 at its relaxed geometry.

Output
**Density**: 6.36 g/cm3
**Spin magnetization**: 0.0 μB per formula unit
**DFT total energy**: -5.722 eV per atom
**Offset from the most stable computed form**: 0.240 eV/atom
**Uncorrected formation energy**: -0.85 eV/atom

Cell: 4.663 5.916 8.088 Å, 90.00 90.00 90.00°
Space group Cmmm (No. 65)
One atom of each set of equivalent atoms:
La (0.000, 0.000, 0.000)
Sc (0.000, 0.000, 0.500)
Sb (0.000, 0.500, 0.273)



No. 3
The following is a DFT calculation (PBE-GGA) of crystalline Tb2Dy3Tm6Pb at its relaxed geometry.

Output
**Density**: 9.34 g/cm3
**Spin magnetization**: 0.0 μB per formula unit
**DFT total energy**: -4.520 eV per atom
**Energy of formation**: -0.053 eV per atom

Cell: 6.038 10.464 11.585 Å, 90.00 100.08 90.00°
Space group C2/m (No. 12)
One atom of each set of equivalent atoms:
Tb (0.000, 0.166, 0.000)
Dy (0.000, 0.000, 0.500)
Dy (0.000, 0.333, 0.500)
Tm (0.247, 0.335, 0.249)
Tm (0.247, 0.500, 0.750)
Pb (0.000, 0.500, 0.000)



No. 4
The following is a DFT calculation (PBE-GGA) of crystalline MnCdOs2 at its relaxed geometry.

Output
**Density**: 14.56 g/cm3
**Spin magnetization**: 3.2 μB per formula unit
**DFT total energy**: -7.582 eV per atom
**Energy of formation**: 0.554 eV per atom

Cell: 2.940 4.602 9.236 Å, 90.00 90.00 90.00°
Space group Imm2 (No. 44)
One atom of each set of equivalent atoms:
Mn (0.000, 0.000, 0.000)
Cd (0.000, 0.500, 0.236)
Os (0.000, 0.000, 0.469)
Os (0.000, 0.500, 0.739)



No. 5
The following is a DFT calculation (PBE-GGA) of crystalline Ca2ZrOs2 at its relaxed geometry.

Output
**Density**: 8.91 g/cm3
**Spin magnetization**: 0.0 μB per formula unit
**DFT total energy**: -6.345 eV per atom
**Offset from the most stable computed form**: 0.052 eV/atom
**Energy of formation**: 0.658 eV per atom

Cell: 8.664 8.664 2.740 Å, 90.00 90.00 90.00°
Space group P4/mbm (No. 127)
One atom of each set of equivalent atoms:
Ca (0.121, 0.379, 0.000)
Zr (0.000, 0.000, 0.000)
Os (0.181, 0.681, 0.500)



No. 6
The following is a DFT calculation (PBE-GGA) of crystalline CaY2 at its relaxed geometry.

Output
**Density**: 3.47 g/cm3
**Spin magnetization**: 0.7 μB per formula unit
**DFT total energy**: -4.891 eV per atom
**Offset from the most stable computed form**: 0.018 eV/atom
**Energy of formation**: 0.085 eV per atom

Cell: 13.478 3.674 8.727 Å, 90.00 105.27 90.00°
Space group Cm (No. 8)
One atom of each set of equivalent atoms:
Ca (0.000, 0.000, 0.000)
Ca (0.163, 0.500, 0.342)
Y (0.049, 0.000, 0.617)
Y (0.229, 0.500, 0.936)
Y (0.333, 0.000, 0.669)
Y (0.381, 0.000, 0.285)



No. 7
The following is a DFT calculation (PBE-GGA) of crystalline FeW3 at its relaxed geometry.

Output
**Density**: 16.65 g/cm3
**Spin magnetization**: 2.1 μB per formula unit
**DFT total energy**: -11.697 eV per atom
**Energy of formation**: 0.134 eV per atom

Cell: 6.141 8.903 4.431 Å, 90.00 90.00 90.00°
Space group Cmcm (No. 63)
One atom of each set of equivalent atoms:
Fe (0.000, 0.127, 0.250)
W (0.000, 0.373, 0.750)
W (0.244, 0.123, 0.750)



No. 8
The following is a DFT calculation (PBE-GGA) of crystalline B2CS at its relaxed geometry.

Output
**Density**: 3.07 g/cm3
**Spin magnetization**: 0.0 μB per formula unit
**DFT total energy**: -6.314 eV per atom
**Offset from the most stable computed form**: 0.525 eV/atom
**Uncorrected formation energy**: 0.36 eV/atom

Cell: 2.890 2.963 4.148 Å, 90.00 90.00 90.00°
Space group Pmm2 (No. 25)
One atom of each set of equivalent atoms:
B (0.000, 0.000, 0.000)
B (0.000, 0.500, 0.227)
C (0.500, 0.000, 0.795)
S (0.500, 0.500, 0.511)



No. 9
The following is a DFT calculation (PBE-GGA) of crystalline Zn2TcPt at its relaxed geometry.

Output
**Density**: 12.16 g/cm3
**Spin magnetization**: 0.0 μB per formula unit
**DFT total energy**: -4.852 eV per atom
**Offset from the most stable computed form**: 0.028 eV/atom
**Energy of formation**: -0.113 eV per atom

Cell: 2.756 3.489 6.019 Å, 90.00 90.00 90.00°
Space group Pmmm (No. 47)
One atom of each set of equivalent atoms:
Zn (0.000, 0.000, 0.245)
Tc (0.500, 0.500, 0.500)
Pt (0.500, 0.500, 0.000)



No. 10
The following is a DFT calculation (PBE-GGA) of crystalline Mg2TePd2 at its relaxed geometry.

Output
**Density**: 6.76 g/cm3
**Spin magnetization**: 0.0 μB per formula unit
**DFT total energy**: -3.897 eV per atom
**Offset from the most stable computed form**: 0.000 eV/atom
**Uncorrected formation energy**: -0.55 eV/atom

Cell: 7.239 7.239 3.646 Å, 90.00 90.00 90.00°
Space group P4/mbm (No. 127)
One atom of each set of equivalent atoms:
Mg (0.156, 0.344, 0.000)
Te (0.000, 0.000, 0.500)
Pd (0.139, 0.639, 0.500)



No. 11
The following is a DFT calculation (PBE-GGA) of crystalline HoTmFePd at its relaxed geometry.

Output
**Density**: 10.54 g/cm3
**Spin magnetization**: 0.6 μB per formula unit
**DFT total energy**: -6.031 eV per atom
**Energy of formation**: -0.355 eV per atom

Cell: 6.786 6.786 6.786 Å, 90.00 90.00 90.00°
Space group F-43m (No. 216)
One atom of each set of equivalent atoms:
Ho (0.000, 0.000, 0.000)
Tm (0.000, 0.000, 0.500)
Fe (0.250, 0.250, 0.250)
Pd (0.250, 0.250, 0.750)



No. 12
The following is a DFT calculation (PBE-GGA) of crystalline ZnAs2Se at its relaxed geometry.

Output
**Density**: 5.64 g/cm3
**Spin magnetization**: 0.0 μB per formula unit
**DFT total energy**: -3.424 eV per atom
**Offset from the most stable computed form**: 0.255 eV/atom
**Uncorrected formation energy**: 0.09 eV/atom

Cell: 12.562 3.411 4.050 Å, 90.00 92.58 90.00°
Space group Cm (No. 8)
One atom of each set of equivalent atoms:
Zn (0.000, 0.000, 0.000)
As (0.279, 0.500, 0.404)
As (0.450, 0.000, 0.499)
Se (0.203, 0.000, 0.991)



No. 13
The following is a DFT calculation (PBE-GGA) of crystalline Sn2MoPt at its relaxed geometry.

Output
**Density**: 10.56 g/cm3
**Spin magnetization**: 0.0 μB per formula unit
**DFT total energy**: -5.828 eV per atom
**Offset from the most stable computed form**: 0.286 eV/atom
**Energy of formation**: 0.391 eV per atom

Cell: 7.366 7.366 6.127 Å, 90.00 90.00 90.00°
Space group I-42d (No. 122)
One atom of each set of equivalent atoms:
Sn (0.233, 0.250, 0.125)
Mo (0.000, 0.000, 0.500)
Pt (0.000, 0.000, 0.000)